A relaxed structure of Sr2Al3Au9. Source: the Alexandria database, functional GGA-PBE.

The formation energy comes out at -0.545 eV/atom.

a = 13.8441 Å, b = 7.9678 Å, c = 11.2370 Å
α = 90.00°, β = 114.29°, γ = 90.00°
Space group C2/c (No. 15)
Asymmetric unit:
Sr 0.1673 0.0823 0.2491 (multiplicity 8)
Al 0.0855 0.2407 0.4977 (multiplicity 8)
Al 0.2500 0.2500 0.0000 (multiplicity 4)
Au 0.0000 0.3603 0.2500 (multiplicity 4)
Au 0.0638 0.0895 0.9394 (multiplicity 8)
Au 0.1031 0.4178 0.0665 (multiplicity 8)
Au 0.1076 0.3085 0.7459 (multiplicity 8)
Au 0.2268 0.4207 0.4418 (multiplicity 8)



A relaxed structure of SrAl2Au2. Source: the Alexandria database, functional GGA-PBE.

The formation energy comes out at -0.283 eV/atom.

a = 8.1046 Å, b = 8.1046 Å, c = 3.1923 Å
α = 90.00°, β = 90.00°, γ = 90.00°
Space group P4/mbm (No. 127)
Asymmetric unit:
Sr 0.0000 0.0000 0.0000 (multiplicity 2)
Al 0.1461 0.3539 0.5000 (multiplicity 4)
Au 0.1373 0.6373 0.0000 (multiplicity 4)



A relaxed structure of SrAlAu. Source: the Alexandria database, functional GGA-PBE.

The formation energy comes out at -0.422 eV/atom.

a = 3.6254 Å, b = 3.6254 Å, c = 11.2779 Å
α = 90.00°, β = 90.00°, γ = 90.00°
Space group I4mm (No. 107)
Asymmetric unit:
Sr 0.0000 0.0000 0.0000 (multiplicity 2)
Al 0.0000 0.0000 0.7095 (multiplicity 2)
Au 0.0000 0.0000 0.2913 (multiplicity 2)



A relaxed structure of SrAl2Au10. Source: the Alexandria database, functional GGA-PBE.

The formation energy comes out at -0.349 eV/atom.

a = 5.5974 Å, b = 12.5130 Å, c = 14.4996 Å
α = 90.00°, β = 90.00°, γ = 90.00°
Space group Fmmm (No. 69)
Asymmetric unit:
Sr 0.0000 0.0000 0.0000 (multiplicity 4)
Al 0.2500 0.0000 0.2500 (multiplicity 8)
Au 0.0000 0.1130 0.3760 (multiplicity 16)
Au 0.0000 0.1591 0.1718 (multiplicity 16)
Au 0.2500 0.2500 0.0000 (multiplicity 8)



A relaxed structure of SrAl2Au. Source: the Alexandria database, functional GGA-PBE.

The formation energy comes out at -0.255 eV/atom.

a = 3.4377 Å, b = 3.4377 Å, c = 7.5521 Å
α = 90.00°, β = 90.00°, γ = 90.00°
Space group P4/mmm (No. 123)
Asymmetric unit:
Sr 0.0000 0.0000 0.0000 (multiplicity 1)
Al 0.5000 0.5000 0.3147 (multiplicity 2)
Au 0.0000 0.0000 0.5000 (multiplicity 1)



A relaxed structure of SrAl2Au8. Source: the Alexandria database, functional GGA-PBE.

The formation energy comes out at -0.249 eV/atom.

a = 5.6116 Å, b = 5.6116 Å, c = 8.6013 Å
α = 90.00°, β = 90.00°, γ = 90.00°
Space group P4/mmm (No. 123)
Asymmetric unit:
Sr 0.0000 0.0000 0.0000 (multiplicity 1)
Al 0.0000 0.5000 0.5000 (multiplicity 2)
Au 0.2526 0.2526 0.2998 (multiplicity 8)



A relaxed structure of SrAl2Au. Source: the Alexandria database, functional GGA-PBE.

The formation energy comes out at -0.196 eV/atom.

a = 3.3590 Å, b = 5.4897 Å, c = 10.1635 Å
α = 90.00°, β = 90.00°, γ = 90.00°
Space group Immm (No. 71)
Asymmetric unit:
Sr 0.0000 0.0000 0.0000 (multiplicity 2)
Al 0.0000 0.5000 0.2103 (multiplicity 4)
Au 0.0000 0.0000 0.5000 (multiplicity 2)



A relaxed structure of Sr2Al5Au. Source: the Alexandria database, functional GGA-PBE.

The formation energy comes out at -0.211 eV/atom.

a = 5.8981 Å, b = 5.8981 Å, c = 11.7097 Å
α = 90.00°, β = 90.00°, γ = 90.00°
Space group I4mm (No. 107)
Asymmetric unit:
Sr 0.0000 0.5000 0.0000 (multiplicity 4)
Al 0.0000 0.0000 0.3887 (multiplicity 2)
Al 0.2480 0.2480 0.7508 (multiplicity 8)
Au 0.0000 0.0000 0.6091 (multiplicity 2)



A relaxed structure of SrAlAu11. Source: the Alexandria database, functional GGA-PBE.

The formation energy comes out at -0.279 eV/atom.

a = 5.5608 Å, b = 13.1952 Å, c = 7.3471 Å
α = 90.00°, β = 108.87°, γ = 90.00°
Space group C2/m (No. 12)
Asymmetric unit:
Sr 0.0000 0.0000 0.0000 (multiplicity 2)
Al 0.0000 0.5000 0.5000 (multiplicity 2)
Au 0.0000 0.0000 0.5000 (multiplicity 2)
Au 0.0863 0.3926 0.2275 (multiplicity 8)
Au 0.1599 0.1740 0.3490 (multiplicity 8)
Au 0.2500 0.2500 0.0000 (multiplicity 4)



A relaxed structure of Sr2Al2Au. Source: the Alexandria database, functional GGA-PBE.

The formation energy comes out at -0.272 eV/atom. The energy above the most stable polymorph in this dataset is 0.0915 eV per atom.

a = 7.2699 Å, b = 7.2699 Å, c = 5.1059 Å
α = 90.00°, β = 90.00°, γ = 90.00°
Space group P4/mbm (No. 127)
Asymmetric unit:
Sr 0.1765 0.3235 0.0000 (multiplicity 4)
Al 0.1306 0.6306 0.5000 (multiplicity 4)
Au 0.0000 0.0000 0.5000 (multiplicity 2)



A relaxed structure of SrAl6Au2. Source: the Alexandria database, functional GGA-PBE.

The formation energy comes out at -0.332 eV/atom.

a = 4.1788 Å, b = 4.1788 Å, c = 10.0743 Å
α = 90.00°, β = 90.00°, γ = 90.00°
Space group P4/mmm (No. 123)
Asymmetric unit:
Sr 0.0000 0.0000 0.0000 (multiplicity 1)
Al 0.0000 0.0000 0.5000 (multiplicity 1)
Al 0.0000 0.5000 0.3078 (multiplicity 4)
Al 0.5000 0.5000 0.5000 (multiplicity 1)
Au 0.5000 0.5000 0.1443 (multiplicity 2)



A relaxed structure of Sr2Al2Au. Source: the Alexandria database, functional GGA-PBE.

The formation energy comes out at -0.231 eV/atom. The energy above the most stable polymorph in this dataset is 0.1327 eV per atom.

a = 3.8786 Å, b = 3.8786 Å, c = 19.1920 Å
α = 90.00°, β = 90.00°, γ = 90.00°
Space group I4/mmm (No. 139)
Asymmetric unit:
Sr 0.0000 0.0000 0.0983 (multiplicity 4)
Al 0.0000 0.5000 0.2500 (multiplicity 4)
Au 0.0000 0.0000 0.5000 (multiplicity 2)



A relaxed structure of Sr2AlAu6. Source: the Alexandria database, functional GGA-PBE.

The formation energy comes out at -0.606 eV/atom.

a = 9.3661 Å, b = 9.3661 Å, c = 9.3661 Å
α = 90.00°, β = 90.00°, γ = 90.00°
Space group Fm-3m (No. 225)
Asymmetric unit:
Sr 0.2500 0.2500 0.2500 (multiplicity 8)
Al 0.0000 0.0000 0.0000 (multiplicity 4)
Au 0.0000 0.0000 0.2750 (multiplicity 24)



A relaxed structure of SrAl2Au5. Source: the Alexandria database, functional GGA-PBE.

The formation energy comes out at -0.496 eV/atom.

a = 4.3024 Å, b = 7.0177 Å, c = 11.0706 Å
α = 90.00°, β = 90.00°, γ = 90.00°
Space group Immm (No. 71)
Asymmetric unit:
Sr 0.0000 0.0000 0.0000 (multiplicity 2)
Al 0.0000 0.5000 0.2335 (multiplicity 4)
Au 0.0000 0.2041 0.3596 (multiplicity 8)
Au 0.0000 0.5000 0.0000 (multiplicity 2)



A relaxed structure of Sr4AlAu. Source: the Alexandria database, functional GGA-PBE.

The formation energy comes out at 0.516 eV/atom.

a = 9.7658 Å, b = 9.7658 Å, c = 9.7658 Å
α = 90.00°, β = 90.00°, γ = 90.00°
Space group F-43m (No. 216)
Asymmetric unit:
Sr 0.1247 0.1247 0.1247 (multiplicity 16)
Al 0.2500 0.2500 0.7500 (multiplicity 4)
Au 0.0000 0.0000 0.5000 (multiplicity 4)



A relaxed structure of Sr2Al3Au5. Source: the Alexandria database, functional GGA-PBE.

The formation energy comes out at -0.636 eV/atom. The energy above the most stable polymorph in this dataset is 0.0000 eV per atom.

a = 10.7694 Å, b = 12.8355 Å, c = 6.3847 Å
α = 90.00°, β = 90.00°, γ = 90.00°
Space group Ibam (No. 72)
Asymmetric unit:
Sr 0.2338 0.1354 0.0000 (multiplicity 8)
Al 0.0000 0.5000 0.2500 (multiplicity 4)
Al 0.1035 0.1343 0.5000 (multiplicity 8)
Au 0.0000 0.0000 0.2500 (multiplicity 4)
Au 0.0000 0.2695 0.2500 (multiplicity 8)
Au 0.1628 0.4023 0.0000 (multiplicity 8)



A relaxed structure of SrAl3Au6. Source: the Alexandria database, functional GGA-PBE.

The formation energy comes out at -0.433 eV/atom.

a = 6.1671 Å, b = 6.1996 Å, c = 6.2267 Å
α = 70.67°, β = 74.27°, γ = 70.25°
Space group P1 (No. 1)
Asymmetric unit:
Sr 0.0000 0.0000 0.0000 (multiplicity 1)
Al 0.1726 0.3852 0.1972 (multiplicity 1)
Al 0.3013 0.6133 0.4766 (multiplicity 1)
Al 0.6091 0.8866 0.6722 (multiplicity 1)
Au 0.4657 0.2625 0.8137 (multiplicity 1)
Au 0.4759 0.9794 0.2846 (multiplicity 1)
Au 0.5188 0.5703 0.0722 (multiplicity 1)
Au 0.7813 0.5249 0.4595 (multiplicity 1)
Au 0.9779 0.5575 0.8301 (multiplicity 1)
Au 0.9833 0.0363 0.4961 (multiplicity 1)



A relaxed structure of SrAl2Au. Source: the Alexandria database, functional GGA-PBE.

The formation energy comes out at -0.450 eV/atom.

a = 4.4000 Å, b = 4.4000 Å, c = 17.5952 Å
α = 90.00°, β = 90.00°, γ = 120.00°
Space group R-3m (No. 166, hexagonal axes)
Asymmetric unit:
Sr 0.0000 0.0000 0.0000 (multiplicity 3)
Al 0.0000 0.0000 0.2044 (multiplicity 6)
Au 0.0000 0.0000 0.5000 (multiplicity 3)



A relaxed structure of Sr2Al2Au. Source: the Alexandria database, functional GGA-PBE.

The formation energy comes out at -0.363 eV/atom. The energy above the most stable polymorph in this dataset is 0.0000 eV per atom.

a = 4.5461 Å, b = 4.3456 Å, c = 14.1550 Å
α = 90.00°, β = 90.00°, γ = 90.00°
Space group Amm2 (No. 38)
Asymmetric unit:
Sr 0.0000 0.0000 0.0000 (multiplicity 2)
Sr 0.0000 0.0000 0.2515 (multiplicity 2)
Al 0.5000 0.0000 0.4299 (multiplicity 2)
Al 0.5000 0.0000 0.6262 (multiplicity 2)
Au 0.5000 0.0000 0.8205 (multiplicity 2)



A relaxed structure of SrAlAu2. Source: the Alexandria database, functional GGA-PBE.

The formation energy comes out at -0.456 eV/atom.

a = 3.3722 Å, b = 3.3722 Å, c = 7.5598 Å
α = 90.00°, β = 90.00°, γ = 90.00°
Space group P4/mmm (No. 123)
Asymmetric unit:
Sr 0.0000 0.0000 0.0000 (multiplicity 1)
Al 0.0000 0.0000 0.5000 (multiplicity 1)
Au 0.5000 0.5000 0.3036 (multiplicity 2)



A relaxed structure of SrAlAu4. Source: the Alexandria database, functional GGA-PBE.

The formation energy comes out at -0.314 eV/atom. The energy above the most stable polymorph in this dataset is 0.1693 eV per atom.

a = 8.0040 Å, b = 8.0040 Å, c = 8.0040 Å
α = 90.00°, β = 90.00°, γ = 90.00°
Space group F-43m (No. 216)
Asymmetric unit:
Sr 0.0000 0.0000 0.0000 (multiplicity 4)
Al 0.2500 0.2500 0.7500 (multiplicity 4)
Au 0.1245 0.1245 0.3755 (multiplicity 16)



A relaxed structure of SrAlAu2. Source: the Alexandria database, functional GGA-PBE.

The formation energy comes out at -0.536 eV/atom.

a = 5.9928 Å, b = 8.3220 Å, c = 4.1400 Å
α = 90.00°, β = 90.00°, γ = 90.00°
Space group Cmmm (No. 65)
Asymmetric unit:
Sr 0.0000 0.0000 0.0000 (multiplicity 2)
Al 0.0000 0.5000 0.5000 (multiplicity 2)
Au 0.2500 0.2500 0.5000 (multiplicity 4)



A relaxed structure of Sr2Al2Au. Source: the Alexandria database, functional GGA-PBE.

The formation energy comes out at -0.108 eV/atom. The energy above the most stable polymorph in this dataset is 0.2554 eV per atom.

a = 6.3918 Å, b = 6.3918 Å, c = 7.4454 Å
α = 90.00°, β = 90.00°, γ = 90.00°
Space group I4/mmm (No. 139)
Asymmetric unit:
Sr 0.0000 0.5000 0.2500 (multiplicity 4)
Al 0.0000 0.0000 0.1633 (multiplicity 4)
Au 0.0000 0.0000 0.5000 (multiplicity 2)



A relaxed structure of SrAlAu. Source: the Alexandria database, functional GGA-PBE.

The formation energy comes out at 0.224 eV/atom.

a = 7.2403 Å, b = 7.2403 Å, c = 7.2403 Å
α = 90.00°, β = 90.00°, γ = 90.00°
Space group F-43m (No. 216)
Asymmetric unit:
Sr 0.0000 0.0000 0.0000 (multiplicity 4)
Al 0.2500 0.2500 0.7500 (multiplicity 4)
Au 0.2500 0.2500 0.2500 (multiplicity 4)